Entry 1:
BiHBrO2, relaxed, DFT PBE-GGA; calculated density = 5.9 Mg/m³; space-group type = No. 11; magnetization = 0.00 μB per formula unit; VASP energy = -4.508 eV/atom
1.0
-3.051 -2.870 -0.676
4.585 -4.597 -1.180
0.353 -1.830 6.181
Bi H Br O
2 2 2 4
direct
0.750 0.186 0.619
0.250 0.814 0.381
0.250 0.878 0.938
0.750 0.122 0.062
0.750 0.442 0.236
0.250 0.558 0.764
0.750 0.009 0.967
0.250 0.991 0.033
0.250 0.085 0.563
0.750 0.915 0.437

=====

Entry 2:
BiHPd2Br, relaxed, DFT PBE-GGA; calculated density = 5.3 Mg/m³; space-group type = No. 123; magnetization = 0.94 μB per formula unit; VASP energy = -3.009 eV/atom
1.0
-0.167 -3.736 3.597
5.210 -1.977 -1.811
2.368 3.147 3.379
H Br Bi Pd
1 1 1 2
direct
0.500 0.500 0.500
0.000 0.500 0.000
0.000 0.000 0.000
0.000 0.000 0.500
0.500 0.000 0.000

=====

Entry 3:
BiHSe2Br, relaxed, DFT PBE-GGA; calculated density = 7.2 Mg/m³; space-group type = No. 123; magnetization = 0.00 μB per formula unit; distance to the lowest polymorph of the same formula = 0 meV/atom
1.0
-0.058 0.383 4.252
-1.868 -3.826 0.319
5.098 -2.465 0.291
H Se Bi Br
1 2 1 1
direct
0.000 0.000 0.000
0.000 0.500 0.000
0.500 0.000 0.000
0.500 0.500 0.500
0.000 0.000 0.500